Dy6In2Au: optimized geometry, PBE.

Calculated values
Volume   282.20 Å³ per cell
DFT formation energy   -1.89 eV per formula unit
Final energy   -38.25 eV for the cell shown

Cell: 5.089 7.273 8.823 Å, 114.34 106.77 90.00°
Atoms (fractional coordinates):
1 Dy 0.161 0.403 0.322
2 Dy 0.839 0.081 0.678
3 Dy 0.839 0.597 0.678
4 Dy 0.500 0.236 0.000
5 Dy 0.161 0.919 0.322
6 Dy 0.500 0.764 0.000
7 In 0.666 0.667 0.334
8 In 0.334 0.333 0.666
9 Au 0.000 0.000 0.000



CaTeS2N: optimized geometry, PBE.

Calculated values
Volume   124.52 Å³ per cell
Final energy   -18.11 eV for the cell shown
Energy above the most stable polymorph in this dataset   0.758 eV/atom

Cell: 5.313 5.313 4.411 Å, 90.00 90.00 90.00°
Last column: magnetic moment on the atom in μB.
Atoms (fractional coordinates):
1 Ca 0.000 0.000 0.000  0.03
2 Te 0.500 0.500 0.500  0.00
3 S 0.000 0.500 0.000  0.05
4 S 0.500 0.000 0.000  0.05
5 N 0.000 0.000 0.500  1.39



Li6CdAu3: optimized geometry, PBE.

Calculated values
Volume   363.51 Å³ per cell
DFT formation energy   -3.70 eV per formula unit
Final energy   -51.86 eV for the cell shown
Energy above the most stable polymorph in this dataset   0.063 eV/atom

Cell: 5.156 8.799 8.799 Å, 114.42 90.00 90.00°
Atoms (fractional coordinates):
1 Li 0.051 0.677 0.621
2 Li 0.551 0.621 0.677
3 Li 0.395 0.551 0.938
4 Li 0.895 0.938 0.551
5 Li 0.171 0.943 0.057
6 Li 0.711 0.300 0.700
7 Li 0.211 0.700 0.300
8 Li 0.671 0.057 0.943
9 Li 0.395 0.062 0.449
10 Li 0.895 0.449 0.062
11 Li 0.051 0.379 0.323
12 Li 0.551 0.323 0.379
13 Cd 0.165 0.174 0.826
14 Cd 0.665 0.826 0.174
15 Au 0.421 0.885 0.629
16 Au 0.921 0.629 0.885
17 Au 0.205 0.375 0.625
18 Au 0.705 0.625 0.375
19 Au 0.921 0.115 0.371
20 Au 0.421 0.371 0.115